Record 1
Ho8Bi2Te3 after structural relaxation. Source: the Alexandria database, functional PBE.

Cell: 6.809 8.545 8.348 Å, 120.78 95.11 90.00°
Element x y z (fractional)
1 Ho 0.876 0.596 0.192
2 Ho 0.124 0.404 0.808
3 Ho 0.850 0.163 0.326
4 Ho 0.150 0.837 0.674
5 Ho 0.630 0.589 0.769
6 Ho 0.630 0.180 0.769
7 Ho 0.370 0.820 0.231
8 Ho 0.370 0.411 0.231
9 Bi 0.367 0.239 0.479
10 Bi 0.633 0.761 0.521
11 Te 0.500 0.000 0.000
12 Te 0.000 0.205 0.000
13 Te 0.000 0.795 0.000

As for the space group: C2/m, No. 12. As for the density: 8.48 Mg/m³. The density of states at the Fermi level comes out at 11.55 states/eV per cell. The electronic total energy is -61.60 eV per cell.

***

Record 2
Nd2UAs3Rh4 after structural relaxation. Source: the Alexandria database, functional PBE.

Cell: 4.190 4.190 11.199 Å, 90.00 90.00 90.00°
Element x y z (fractional)
1 Nd 0.500 0.000 0.222
2 Nd 0.000 0.500 0.778
3 U 0.500 0.500 0.500
4 As 0.000 0.000 0.500
5 As 0.500 0.000 0.870
6 As 0.000 0.500 0.130
7 Rh 0.500 0.500 0.000
8 Rh 0.000 0.000 0.000
9 Rh 0.500 0.000 0.649
10 Rh 0.000 0.500 0.351

As for the space group: P-4m2, No. 115. As for the density: 9.82 Mg/m³. The calculation puts the formation energy at -0.853 eV per atom. The density of states at the Fermi level comes out at 11.44 states/eV per cell.

***

Record 3
KTi2PtS after structural relaxation. Source: the Alexandria database, functional PBE.

Cell: 4.639 4.778 4.639 Å, 90.00 90.00 90.00°
Element x y z (fractional)
1 K 0.500 0.500 0.500
2 S 0.000 0.000 0.000
3 Pt 0.000 0.500 0.000
4 Ti 0.000 0.000 0.500
5 Ti 0.500 0.000 0.000

As for the space group: P4/mmm, No. 123. As for the density: 5.85 Mg/m³. The density of states at the Fermi level comes out at 6.57 states/eV per cell. The electronic total energy is -26.64 eV per cell.

***

Record 4
NaSbTe2S after structural relaxation. Source: the Alexandria database, functional PBE.

Cell: 5.402 5.402 5.298 Å, 90.00 90.00 90.00°
Element x y z (fractional)
1 Sb 0.000 0.000 0.500
2 S 0.000 0.000 0.000
3 Te 0.000 0.500 0.000
4 Te 0.500 0.000 0.000
5 Na 0.500 0.500 0.500

As for the space group: P4/mmm, No. 123. As for the density: 4.64 Mg/m³. For the distance to the lowest polymorph of the same formula, the calculation gives 0.000 eV per formula unit. The density of states at the Fermi level comes out at 2.47 states/eV per cell.